HoSc2, relaxed, DFT GGA-PBE; E_tot = -5.52 eV per atom; theoretical density = 5.2 g/cm³; calculated volume = 26.9 Å³ per atom
1.0
4.4756 0.0000 0.0000
0.0000 4.4756 0.0000
0.0000 0.0000 8.0613
Ho Sc
2 4
Direct
0.2500 0.2500 0.1905
0.7500 0.7500 0.8095
0.2500 0.2500 0.7898
0.2500 0.7500 0.5000
0.7500 0.2500 0.5000
0.7500 0.7500 0.2102

=====

HoSc, relaxed, DFT GGA-PBE; E_tot = -3.47 eV per atom; theoretical density = 5.0 g/cm³; calculated volume = 35.0 Å³ per atom
1.0
0.0000 3.2723 3.2723
3.2723 0.0000 3.2723
3.2723 3.2723 0.0000
Ho Sc
1 1
Direct
0.0000 0.0000 0.0000
0.7500 0.7500 0.7500

=====

HoSc2, relaxed, DFT GGA-PBE; E_tot = -2.92 eV per atom; theoretical density = 2.2 g/cm³; calculated volume = 64.7 Å³ per atom
1.0
0.0000 5.7914 5.7914
5.7914 0.0000 5.7914
5.7914 5.7914 0.0000
Ho Sc
2 4
Direct
0.1250 0.1250 0.1250
0.8750 0.8750 0.8750
0.0000 0.0000 0.0000
0.0000 0.0000 0.5000
0.0000 0.5000 0.0000
0.5000 0.0000 0.0000

=====

HoSc2, relaxed, DFT GGA-PBE; E_tot = -5.71 eV per atom; theoretical density = 5.5 g/cm³; calculated volume = 25.7 Å³ per atom
1.0
2.9000 -1.6857 0.0000
2.9000 1.6857 0.0000
-1.9909 0.0000 7.8720
Ho Sc
1 2
Direct
0.0000 0.0000 0.0000
0.2221 0.2221 0.6578
0.7779 0.7779 0.3422

=====

HoSc, relaxed, DFT GGA-PBE; E_tot = -4.67 eV per atom; theoretical density = 6.0 g/cm³; calculated volume = 29.0 Å³ per atom
1.0
0.0000 3.0718 3.0718
3.0718 0.0000 3.0718
3.0718 3.0718 0.0000
Ho Sc
1 1
Direct
0.0000 0.0000 0.0000
0.5000 0.5000 0.5000

=====

HoSc, relaxed, DFT GGA-PBE; E_tot = -5.41 eV per atom; theoretical density = 6.3 g/cm³; calculated volume = 27.5 Å³ per atom
1.0
3.4393 0.0000 0.0000
-1.7196 2.9785 0.0000
0.0000 0.0000 5.3646
Ho Sc
1 1
Direct
0.0000 0.0000 0.0000
0.6667 0.3333 0.5000

=====

Among the records above, which one has the lowest E_tot? number 4